Entry 1:
# DyGa3NiIr

A geometry-optimized DyGa3NiIr structure (GGA-PBE, the Alexandria database).

Structure (POSCAR):
```
DyGa3NiIr
1.0
5.439 0.000 0.000
0.000 7.854 0.000
0.000 -3.927 5.281
Dy Ga Ni Ir
2 6 2 2
Cartesian
4.079 0.000 3.136
1.360 3.927 2.145
1.360 0.000 1.883
0.000 1.965 0.000
2.719 5.889 0.000
2.719 1.965 0.000
0.000 5.889 0.000
4.079 3.927 3.398
1.360 3.927 4.835
4.079 0.000 0.446
1.360 0.000 4.336
4.079 3.927 0.945
```

## Properties
The uncorrected energy comes out at -5.1279 eV/atom. Its density of states at the Fermi level is 4.93 states/eV per cell. The formation energy is -407.0 meV/atom.

---

Entry 2:
# DyGa4NiIr2

A geometry-optimized DyGa4NiIr2 structure (GGA-PBE, the Alexandria database).

Structure (POSCAR):
```
DyGa4NiIr2
1.0
4.236 0.000 0.000
2.118 3.668 0.000
2.118 1.223 8.428
Dy Ga Ni Ir
1 4 1 2
Cartesian
0.000 0.000 0.000
4.236 2.445 6.754
6.353 3.668 3.353
2.118 1.223 5.075
4.236 2.445 1.674
4.236 2.445 4.214
6.353 3.668 5.948
2.118 1.223 2.480
```

## Properties
The uncorrected energy comes out at -5.5522 eV/atom. Its density of states at the Fermi level is 4.41 states/eV per cell. The formation energy is -525.6 meV/atom.

---

Entry 3:
# Dy2Ga4Ir3Pd

A geometry-optimized Dy2Ga4Ir3Pd structure (GGA-PBE, the Alexandria database).

Structure (POSCAR):
```
Dy2Ga4Ir3Pd
1.0
-4.064 -0.174 -0.879
0.891 -0.322 -4.052
0.259 -10.552 0.896
Dy Ga Ir Pd
2 4 3 1
Cartesian
-1.967 -2.736 -0.215
0.639 -8.064 -1.355
-1.587 -0.248 -2.466
0.000 0.000 0.000
-1.869 -6.743 0.125
0.541 -4.058 -1.695
0.129 -5.276 0.448
-1.809 -9.184 0.332
0.481 -1.616 -1.903
-1.457 -5.524 -2.018
```

## Properties
The uncorrected energy comes out at -6.0388 eV/atom. Its density of states at the Fermi level is 4.66 states/eV per cell. The formation energy is -730.0 meV/atom.

---

Entry 4:
# DyGa4Ir2Pd

A geometry-optimized DyGa4Ir2Pd structure (GGA-PBE, the Alexandria database).

Structure (POSCAR):
```
DyGa4Ir2Pd
1.0
-2.236 -2.397 -2.763
-2.522 -3.150 1.448
-8.077 3.593 0.092
Dy Ga Ir Pd
1 4 2 1
Cartesian
0.000 0.000 0.000
-8.429 0.710 -0.447
-7.280 -3.432 -1.109
-5.555 1.478 -0.114
-4.406 -2.663 -0.776
-9.362 -1.686 -0.939
-3.473 -0.267 -0.284
-6.418 -0.977 -0.611
```

## Properties
The uncorrected energy comes out at -5.5161 eV/atom. Its density of states at the Fermi level is 4.42 states/eV per cell. The formation energy is -563.1 meV/atom.